A geometry-optimized SrTlIO structure, computed with PBE-GGA.

Cell: 4.142 4.142 8.290 Å, 89.98 89.98 60.00°
Sites, in units of the cell vectors:
I (0.688, 0.650, 0.416)
Sr (0.021, 0.983, 0.122)
O (0.355, 0.316, 0.022)
Tl (0.355, 0.316, 0.736)

The uncorrected formation energy comes out at -1492 meV/atom. The calculated total energy comes out at -4.13 eV/atom. The crystal system is trigonal. The symmetry is P3m1 (156).